a:
Computed, not measured: an optimized crystal structure of KAg2Hg at the PBE level of DFT.

Unit cell a=5.3759 b=5.3759 c=10.5076 alpha=75.18 beta=75.18 gamma=90.00
With the nearest neighbours (Å) after each atom.
Fractional positions:
K  0.5000  0.5000  0.0000  4 Hg 3.80, 8 Ag 3.88
K  0.2500  0.7500  0.5000  4 Hg 3.80, 8 Ag 3.88
Hg  0.0000  0.0000  0.0000  4 Ag 2.79
Hg  0.7500  0.2500  0.5000  4 Ag 2.79
Ag  0.8746  0.1250  0.2500  2 Ag 2.69, 2 Hg 2.79
Ag  0.8754  0.6250  0.2500  2 Ag 2.69, 2 Hg 2.79
Ag  0.3750  0.1254  0.7500  2 Ag 2.69, 2 Hg 2.79
Ag  0.8750  0.1246  0.7500  2 Ag 2.69, 2 Hg 2.79


b:
Computed, not measured: an optimized crystal structure of KAg2Hg at the PBE level of DFT.

Unit cell a=5.1961 b=5.1961 c=5.1961 alpha=60.00 beta=60.00 gamma=60.00
With the nearest neighbours (Å) after each atom.
Fractional positions:
K  0.0000  0.0000  0.0000  8 Ag 3.18
Hg  0.5000  0.5000  0.5000  8 Ag 3.18
Ag  0.2500  0.2500  0.2500  4 Hg 3.18, 4 K 3.18
Ag  0.7500  0.7500  0.7500  4 K 3.18, 4 Hg 3.18


c:
Computed, not measured: an optimized crystal structure of KAg2Hg at the PBE level of DFT.

Unit cell a=4.9754 b=3.1017 c=6.8308 alpha=80.29 beta=90.00 gamma=90.00
With the nearest neighbours (Å) after each atom.
Fractional positions:
Ag  0.0000  0.0603  0.0623  2 Hg 2.90, 4 Ag 2.94-3.10
Ag  0.0000  0.4397  0.4377  2 Hg 2.90, 4 Ag 2.94-3.10
Hg  0.5000  0.2500  0.2500  4 Ag 2.90, 2 Hg 3.10
K  0.5000  0.7500  0.7500  2 K 3.10


Stability check: which of them is most stable? a.


a:
Computed, not measured: an optimized crystal structure of KAg2Hg at the PBE level of DFT.

Unit cell a=3.0561 b=4.4612 c=7.4399 alpha=90.00 beta=90.00 gamma=90.00
With the nearest neighbours (Å) after each atom.
Fractional positions:
Ag  0.0000  0.0000  0.0568  3 Ag 2.87-3.06, 4 Hg 3.06
Ag  0.0000  0.0000  0.4432  3 Ag 2.87-3.06, 4 Hg 3.06
Hg  0.5000  0.5000  0.2500  2 Hg 3.06, 8 Ag 3.06
K  0.5000  0.5000  0.7500  2 K 3.06


b:
Computed, not measured: an optimized crystal structure of KAg2Hg at the PBE level of DFT.

Unit cell a=4.9428 b=6.4042 c=8.3370 alpha=90.00 beta=90.00 gamma=112.53
With the nearest neighbours (Å) after each atom.
Fractional positions:
K  0.4669  0.9326  0.7500  3 Hg 3.38-3.55, 2 Ag 3.66
K  0.5331  0.0674  0.2500  3 Hg 3.38-3.55, 2 Ag 3.66
Ag  0.2480  0.4960  0.4173  3 Ag 2.79-2.83, 3 Hg 2.89-2.96
Ag  0.7520  0.5040  0.5827  3 Ag 2.79-2.83, 3 Hg 2.89-2.96
Ag  0.2480  0.4960  0.0827  3 Ag 2.79-2.83, 3 Hg 2.89-2.96
Ag  0.7520  0.5040  0.9173  3 Ag 2.79-2.83, 3 Hg 2.89-2.96
Hg  0.8188  0.6382  0.2500  6 Ag 2.89-2.96
Hg  0.1812  0.3618  0.7500  6 Ag 2.89-2.96


c:
Computed, not measured: an optimized crystal structure of KAg2Hg at the PBE level of DFT.

Unit cell a=3.7047 b=3.7047 c=7.6985 alpha=90.00 beta=90.00 gamma=90.00
With the nearest neighbours (Å) after each atom.
Fractional positions:
Ag  0.0000  0.0000  0.0739  4 Ag 2.84, 1 Hg 2.91
Ag  0.5000  0.5000  0.2163  4 Ag 2.84
Hg  0.0000  0.0000  0.4522  5 Ag 2.91-3.19
K  0.5000  0.5000  0.7577  4 Hg 3.52, 5 Ag 3.53-3.58, 4 K 3.70


Stability check: which of them is most stable? b.


a:
Computed, not measured: an optimized crystal structure of KAgHg2 at the PBE level of DFT.

Unit cell a=5.3732 b=5.3732 c=5.3732 alpha=60.00 beta=60.00 gamma=60.00
With the nearest neighbours (Å) after each atom.
Fractional positions:
K  0.0000  0.0000  0.0000  8 Hg 3.29
Hg  0.2500  0.2500  0.2500  4 Ag 3.29, 4 K 3.29
Hg  0.7500  0.7500  0.7500  4 K 3.29, 4 Ag 3.29
Ag  0.5000  0.5000  0.5000  8 Hg 3.29


b:
Computed, not measured: an optimized crystal structure of KAgHg2 at the PBE level of DFT.

Unit cell a=5.4181 b=5.4181 c=5.4181 alpha=60.00 beta=60.00 gamma=60.00
With the nearest neighbours (Å) after each atom.
Fractional positions:
Ag  0.5000  0.5000  0.5000  4 K 3.32, 4 Hg 3.32
Hg  0.0000  0.0000  0.0000  4 Hg 3.32, 4 K 3.32
Hg  0.2500  0.2500  0.2500  4 Hg 3.32, 4 Ag 3.32
K  0.7500  0.7500  0.7500  4 Hg 3.32, 4 Ag 3.32


Stability check: which of them is most stable? a.


a:
Computed, not measured: an optimized crystal structure of K2AgHg3 at the PBE level of DFT.

Unit cell a=5.2400 b=6.5093 c=6.5554 alpha=77.64 beta=66.44 gamma=66.27
With the nearest neighbours (Å) after each atom.
Fractional positions:
K  0.5496  0.1928  0.7081  9 Hg 3.51-3.77, 3 Ag 3.63-3.89
K  0.4456  0.8062  0.3027  3 Ag 3.54-3.58, 9 Hg 3.56-3.93
Ag  0.1676  0.4022  0.2627  4 Hg 2.91-2.97
Hg  0.8552  0.5923  0.6973  1 Ag 2.91, 3 Hg 3.12-3.22
Hg  0.8207  0.2352  0.1234  2 Ag 2.94, 2 Hg 3.13-3.22
Hg  0.1613  0.7715  0.9059  1 Ag 2.97, 3 Hg 3.12-3.13


b:
Computed, not measured: an optimized crystal structure of K2AgHg3 at the PBE level of DFT.

Unit cell a=4.0543 b=5.2184 c=8.9795 alpha=90.00 beta=90.00 gamma=90.00
With the nearest neighbours (Å) after each atom.
Fractional positions:
K  0.0000  0.5000  0.0050  2 Ag 3.54, 10 Hg 3.63-3.75
K  0.0000  0.0000  0.4966  8 Hg 3.50-3.67, 4 Ag 3.63
Ag  0.5000  0.5000  0.3282  3 Hg 2.92-2.93
Hg  0.5000  0.0000  0.8368  3 Hg 3.08
Hg  0.5000  0.0000  0.1796  2 Ag 2.93, 1 Hg 3.08
Hg  0.5000  0.5000  0.6538  1 Ag 2.92, 2 Hg 3.08


Stability check: which of them is most stable? a.